! NaAsSeBr2 | Alexandria | GGA-PBEsol | relaxed; values from VASP
! raw total energy	-2.885	eV per atom
! formation energy from raw total energies	-65.6	meV per atom
! N(E_F)	2.89	states/eV/f.u.
&SYSTEM
  ibrav = 0, nat = 5, ntyp = 4
/
ATOMIC_SPECIES
Br 79.90 Br.upf
As 74.92 As.upf
Na 22.99 Na.upf
Se 78.96 Se.upf
ATOMIC_POSITIONS angstrom
Br 0.000 0.000 2.869
Br 0.000 2.869 0.000
As 2.379 0.000 0.000
Na 2.379 2.869 2.869
Se 0.000 0.000 0.000
CELL_PARAMETERS angstrom
4.758 0.000 0.000
0.000 5.737 0.000
0.000 0.000 5.737